[1]
Entry from Alexandria via LeMat-Bulk: a geometry-optimized Mn2CuH structure (GGA-PBE).

ρ: 7469 kg/m³
total magnetic moment: 0.0 μB/f.u.

abc: 2.5372 2.5372 7.1088
angles: 79.72 79.72 60.00
Fractional coordinates of all 4 atoms:
H 0.5000 0.5000 0.5000
Mn 0.8804 0.8804 0.3588
Mn 0.1196 0.1196 0.6412
Cu 0.0000 0.0000 0.0000



[2]
Entry from Alexandria via LeMat-Bulk: a geometry-optimized Mn2CuH structure (GGA-PBE).

ρ: 8170 kg/m³
total magnetic moment: 0.8 μB/f.u.

abc: 7.7808 3.6215 2.5163
angles: 90.00 90.00 90.00
Fractional coordinates of all 8 atoms:
Mn 0.1773 0.5000 0.0000
Cu 0.5000 0.5000 0.0000
H 0.0000 0.5000 0.5000
Cu 0.0000 0.0000 0.5000
Mn 0.8227 0.5000 0.0000
Mn 0.6773 0.0000 0.5000
H 0.5000 0.0000 0.0000
Mn 0.3227 0.0000 0.5000



[3]
Entry from Alexandria via LeMat-Bulk: a geometry-optimized MnCuH2 structure (GGA-PBE).

ρ: 6188 kg/m³
total magnetic moment: 3.0 μB/f.u.

abc: 3.9078 3.9078 5.0566
angles: 67.27 67.27 90.00
Fractional coordinates of all 8 atoms:
H 0.8750 0.8648 0.7500
H 0.6148 0.1250 0.2500
H 0.3750 0.3852 0.7500
H 0.1352 0.6250 0.2500
Cu 0.7500 0.2500 0.5000
Mn 0.5000 0.5000 0.0000
Cu 0.0000 0.0000 0.0000
Mn 0.2500 0.7500 0.5000



[4]
Entry from Alexandria via LeMat-Bulk: a geometry-optimized Mn2CuH structure (GGA-PBE).

ρ: 7456 kg/m³
total magnetic moment: 0.4 μB/f.u.

abc: 2.6440 3.7811 7.7721
angles: 90.00 90.00 90.00
Fractional coordinates of all 8 atoms:
Mn 0.0000 0.0000 0.4070
H 0.5000 0.0000 0.8849
Mn 0.5000 0.5000 0.2334
Cu 0.0000 0.0000 0.0781
H 0.0000 0.5000 0.3849
Mn 0.5000 0.5000 0.9070
Mn 0.0000 0.0000 0.7334
Cu 0.5000 0.5000 0.5781



Number 1: offset from the most stable computed form 1.052 eV/f.u., N(E_F) 0.6296 states/eV/atom, volume 39 Å³/cell. Number 2: offset from the most stable computed form 0.359 eV/f.u., N(E_F) 0.8958 states/eV/atom, volume 71 Å³/cell. Number 3: offset from the most stable computed form 0.270 eV/f.u., N(E_F) 0.3160 states/eV/atom, volume 65 Å³/cell. Number 4: offset from the most stable computed form 0.000 eV/f.u., N(E_F) 0.5339 states/eV/atom, volume 78 Å³/cell.